Crystalline SnPb2Br8 at its relaxed geometry. Source: Alexandria, functional GGA-PBE.

Calculated values
* M_tot: 0.00 μB/cell
* calculated density: 4407 kg/m³
* uncorrected formation energy: -664.2 meV/atom

abc: 6.532 8.837 8.837
angles: 120.00 90.00 90.00
Element x y z (fractional)
Sn 0.500 0.000 0.000
Pb 0.670 0.333 0.667
Pb 0.330 0.667 0.333
Br 0.915 0.667 0.333
Br 0.085 0.333 0.667
Br 0.253 0.278 0.139
Br 0.747 0.722 0.861
Br 0.747 0.139 0.861
Br 0.253 0.861 0.139
Br 0.253 0.861 0.722
Br 0.747 0.139 0.278

***

Crystalline Ta2Mo2W7 at its relaxed geometry. Source: Alexandria, functional GGA-PBE.

Calculated values
* M_tot: 0.00 μB/cell
* polymorph energy (0 for the lowest one): 3 meV per atom
* calculated density: 16025 kg/m³
* D(E_F): 7.631 states/eV/f.u.
* energy relative to the elements: 3.6 eV per formula unit

abc: 8.039 5.274 5.274
angles: 118.37 97.22 97.22
Element x y z (fractional)
Ta 0.500 0.257 0.743
Ta 0.500 0.743 0.257
Mo 0.681 0.404 0.404
Mo 0.319 0.596 0.596
W 0.161 0.956 0.471
W 0.839 0.529 0.044
W 0.839 0.044 0.529
W 0.161 0.471 0.956
W 0.000 0.000 0.000
W 0.665 0.898 0.898
W 0.335 0.102 0.102

***

Crystalline Nd2HoRh at its relaxed geometry. Source: Alexandria, functional GGA-PBE.

Calculated values
* M_tot: 0.00 μB/cell
* polymorph energy (0 for the lowest one): 90 meV per atom
* calculated density: 7422 kg/m³
* D(E_F): 3.770 states/eV/f.u.
* energy relative to the elements: -1.4 eV per formula unit

abc: 6.437 6.716 11.516
angles: 89.99 90.00 90.00
Element x y z (fractional)
Nd 0.756 0.909 0.913
Nd 0.244 0.091 0.087
Nd 0.256 0.591 0.587
Nd 0.744 0.409 0.413
Nd 0.756 0.409 0.087
Nd 0.244 0.591 0.913
Nd 0.256 0.091 0.413
Nd 0.744 0.909 0.587
Ho 0.250 0.572 0.250
Ho 0.750 0.428 0.750
Ho 0.750 0.928 0.250
Ho 0.250 0.072 0.750
Rh 0.000 0.250 0.590
Rh 0.000 0.750 0.410
Rh 0.500 0.250 0.910
Rh 0.500 0.750 0.090

***

Crystalline ZnNiSn2 at its relaxed geometry. Source: Alexandria, functional GGA-PBE.

Calculated values
* M_tot: 0.00 μB/cell
* calculated density: 7026 kg/m³
* D(E_F): 2.507 states/eV/f.u.
* energy relative to the elements: 0.7 eV per formula unit

abc: 4.493 4.493 9.042
angles: 75.61 75.61 90.00
Element x y z (fractional)
Ni 0.500 0.500 0.000
Ni 0.250 0.750 0.500
Zn 0.000 0.000 0.000
Zn 0.750 0.250 0.500
Sn 0.601 0.125 0.250
Sn 0.149 0.625 0.250
Sn 0.375 0.399 0.750
Sn 0.875 0.851 0.750

***

Crystalline Ac2La3Y6 at its relaxed geometry. Source: Alexandria, functional GGA-PBE.

Calculated values
* M_tot: 0.00 μB/cell
* calculated density: 5650 kg/m³
* D(E_F): 14.496 states/eV/f.u.
* energy relative to the elements: 1.9 eV per formula unit

abc: 6.330 6.336 12.064
angles: 84.99 79.94 60.03
Element x y z (fractional)
Ac 0.167 0.666 0.500
Ac 0.833 0.334 0.500
La 0.000 0.000 0.000
La 0.335 0.329 0.000
La 0.665 0.671 0.000
Y 0.415 0.668 0.755
Y 0.746 0.000 0.755
Y 0.083 0.332 0.755
Y 0.254 0.000 0.245
Y 0.585 0.332 0.245
Y 0.917 0.668 0.245

***

Crystalline K2MoCl8 at its relaxed geometry. Source: Alexandria, functional GGA-PBE.

Calculated values
* M_tot: 0.12 μB/cell
* polymorph energy (0 for the lowest one): 199 meV per atom
* calculated density: 2368 kg/m³
* D(E_F): 3.133 states/eV/f.u.
* uncorrected formation energy: -903.3 meV/atom

abc: 4.870 6.564 11.911
angles: 119.85 101.80 90.00
Last column: magnetic moment on the atom in μB.
Element x y z (fractional)
K 0.803 0.347 0.606  0.00
K 0.197 0.653 0.394  0.00
Mo 0.500 0.000 0.000  0.16
Cl 0.428 0.558 0.856  -0.01
Cl 0.592 0.977 0.184  0.00
Cl 0.792 0.827 0.584  -0.01
Cl 0.034 0.234 0.069  -0.01
Cl 0.208 0.173 0.416  -0.01
Cl 0.408 0.023 0.816  0.00
Cl 0.572 0.442 0.144  -0.01
Cl 0.966 0.766 0.931  -0.01

***

Crystalline Ti4SnBi at its relaxed geometry. Source: Alexandria, functional GGA-PBE.

Calculated values
* M_tot: 1.71 μB/cell
* polymorph energy (0 for the lowest one): 0 meV per atom
* calculated density: 7572 kg/m³
* D(E_F): 6.459 states/eV/f.u.
* energy relative to the elements: -1.3 eV per formula unit

abc: 5.177 7.222 7.905
angles: 123.41 98.55 67.77
Last column: magnetic moment on the atom in μB.
Element x y z (fractional)
Ti 0.836 0.005 0.840  0.18
Ti 0.664 0.495 0.160  0.18
Ti 0.164 0.995 0.160  0.18
Ti 0.336 0.505 0.840  0.18
Ti 0.410 0.750 0.670  0.17
Ti 0.090 0.750 0.330  0.17
Ti 0.590 0.250 0.330  0.17
Ti 0.910 0.250 0.670  0.17
Sn 0.750 0.750 0.000  -0.01
Sn 0.250 0.250 0.000  -0.01
Bi 0.500 0.000 0.500  -0.01
Bi 0.000 0.500 0.500  -0.01

***

Crystalline Sr2YIr at its relaxed geometry. Source: Alexandria, functional GGA-PBE.

Calculated values
* M_tot: 0.00 μB/cell
* polymorph energy (0 for the lowest one): 498 meV per atom
* calculated density: 6767 kg/m³
* D(E_F): 3.526 states/eV/f.u.
* energy relative to the elements: 0.8 eV per formula unit

abc: 6.411 6.411 6.411
angles: 139.07 139.07 59.27
Element x y z (fractional)
Ir 0.750 0.250 0.500
Sr 0.000 0.000 0.000
Sr 0.500 0.500 0.000
Y 0.250 0.750 0.500

***

Crystalline Al4ZnRu3 at its relaxed geometry. Source: Alexandria, functional GGA-PBE.

Calculated values
* M_tot: 0.00 μB/cell
* calculated density: 7144 kg/m³
* D(E_F): 4.099 states/eV/f.u.
* energy relative to the elements: -4.6 eV per formula unit

abc: 4.269 6.079 8.537
angles: 90.00 90.00 90.00
Element x y z (fractional)
Ru 0.000 0.000 0.000
Ru 0.000 0.000 0.500
Ru 0.500 0.000 0.750
Ru 0.500 0.000 0.250
Ru 0.501 0.500 0.750
Ru 0.499 0.500 0.250
Zn 0.000 0.500 0.000
Zn 0.000 0.500 0.500
Al 0.500 0.766 0.000
Al 0.500 0.766 0.500
Al 0.500 0.234 0.000
Al 0.500 0.234 0.500
Al 0.000 0.766 0.750
Al 0.000 0.766 0.250
Al 0.000 0.234 0.250
Al 0.000 0.234 0.750

***

Crystalline HoZn9Co2 at its relaxed geometry. Source: Alexandria, functional GGA-PBE.

Calculated values
* M_tot: 0.32 μB/cell
* calculated density: 8063 kg/m³
* D(E_F): 8.984 states/eV/f.u.
* energy relative to the elements: -1.8 eV per formula unit

abc: 6.751 8.035 8.035
angles: 79.84 65.16 65.16
Last column: magnetic moment on the atom in μB.
Element x y z (fractional)
Ho 0.500 0.000 0.000  0.00
Ho 0.250 0.500 0.500  0.00
Zn 0.750 0.500 0.500  0.00
Zn 0.000 0.000 0.000  0.00
Zn 0.015 0.918 0.675  0.00
Zn 0.607 0.082 0.325  0.00
Zn 0.682 0.175 0.582  0.00
Zn 0.440 0.825 0.418  0.00
Zn 0.735 0.825 0.582  0.00
Zn 0.143 0.175 0.418  0.00
Zn 0.068 0.918 0.325  0.00
Zn 0.310 0.082 0.675  0.00
Zn 0.735 0.582 0.825  0.00
Zn 0.143 0.418 0.175  0.00
Zn 0.068 0.325 0.918  0.00
Zn 0.310 0.675 0.082  0.00
Zn 0.015 0.675 0.918  0.00
Zn 0.607 0.325 0.082  0.00
Zn 0.682 0.582 0.175  0.00
Zn 0.440 0.418 0.825  0.00
Co 0.875 0.250 0.750  0.07
Co 0.875 0.750 0.250  0.07
Co 0.875 0.250 0.250  0.07
Co 0.375 0.750 0.750  0.07

***

Crystalline LaZn2Ru at its relaxed geometry. Source: Alexandria, functional GGA-PBE.

Calculated values
* M_tot: 0.63 μB/cell
* calculated density: 8163 kg/m³
* D(E_F): 2.940 states/eV/f.u.
* energy relative to the elements: 1.0 eV per formula unit

abc: 9.792 9.792 9.792
angles: 17.66 17.66 17.66
Last column: magnetic moment on the atom in μB.
Element x y z (fractional)
La 0.250 0.250 0.250  0.49
Ru 0.750 0.750 0.750  -0.06
Zn 0.014 0.014 0.014  0.00
Zn 0.486 0.486 0.486  0.00

***

Crystalline Y2Hg5Pb at its relaxed geometry. Source: Alexandria, functional GGA-PBE.

Calculated values
* M_tot: 0.00 μB/cell
* calculated density: 11520 kg/m³
* D(E_F): 5.525 states/eV/f.u.
* energy relative to the elements: -2.7 eV per formula unit

abc: 4.533 6.641 13.292
angles: 90.00 90.00 90.00
Element x y z (fractional)
Y 0.500 0.236 0.623
Y 0.500 0.764 0.377
Y 0.500 0.264 0.123
Y 0.500 0.736 0.877
Hg 0.000 0.000 0.000
Hg 0.000 0.500 0.500
Hg 0.000 0.478 0.748
Hg 0.000 0.522 0.252
Hg 0.000 0.022 0.248
Hg 0.000 0.978 0.752
Hg 0.500 0.232 0.869
Hg 0.500 0.768 0.131
Hg 0.500 0.268 0.369
Hg 0.500 0.732 0.631
Pb 0.000 0.000 0.500
Pb 0.000 0.500 0.000

***

Crystalline Cs2SrAsS4 at its relaxed geometry. Source: Alexandria, functional GGA-PBE.

Calculated values
* M_tot: 1.13 μB/cell
* calculated density: 2797 kg/m³
* D(E_F): 4.482 states/eV/f.u.
* uncorrected formation energy: -888.5 meV/atom

abc: 6.780 8.076 13.724
angles: 84.05 75.70 65.18
Last column: magnetic moment on the atom in μB.
Element x y z (fractional)
Cs 0.185 0.000 0.630  0.00
Cs 0.815 0.000 0.370  0.00
Cs 0.565 0.500 0.870  0.00
Cs 0.935 0.500 0.130  0.00
Sr 0.750 0.500 0.500  0.01
Sr 0.000 0.000 0.000  0.01
As 0.250 0.500 0.500  0.07
As 0.500 0.000 0.000  0.07
S 0.353 0.803 0.096  0.06
S 0.252 0.197 0.904  0.06
S 0.844 0.803 0.904  0.06
S 0.551 0.197 0.096  0.06
S 0.397 0.697 0.404  0.06
S 0.498 0.303 0.596  0.06
S 0.906 0.697 0.596  0.06
S 0.199 0.303 0.404  0.06

***

Crystalline Nd3Sn4Rh8 at its relaxed geometry. Source: Alexandria, functional GGA-PBE.

Calculated values
* M_tot: 0.00 μB/cell
* calculated density: 9943 kg/m³
* D(E_F): 8.887 states/eV/f.u.
* energy relative to the elements: -9.5 eV per formula unit

abc: 9.351 9.351 9.351
angles: 60.00 60.00 60.00
Element x y z (fractional)
Nd 0.731 0.731 0.269
Nd 0.269 0.269 0.731
Nd 0.731 0.269 0.269
Nd 0.269 0.731 0.731
Nd 0.731 0.269 0.731
Nd 0.269 0.731 0.269
Sn 0.000 0.000 0.000
Sn 0.500 0.500 0.000
Sn 0.000 0.000 0.500
Sn 0.500 0.000 0.000
Sn 0.000 0.500 0.500
Sn 0.500 0.000 0.500
Sn 0.000 0.500 0.000
Sn 0.500 0.500 0.500
Rh 0.632 0.123 0.123
Rh 0.368 0.877 0.877
Rh 0.123 0.123 0.632
Rh 0.123 0.123 0.123
Rh 0.877 0.877 0.368
Rh 0.877 0.877 0.877
Rh 0.123 0.632 0.123
Rh 0.877 0.368 0.877
Rh 0.018 0.327 0.327
Rh 0.982 0.673 0.673
Rh 0.327 0.327 0.018
Rh 0.327 0.327 0.327
Rh 0.673 0.673 0.982
Rh 0.673 0.673 0.673
Rh 0.327 0.018 0.327
Rh 0.673 0.982 0.673

***

Crystalline LiDyScRh at its relaxed geometry. Source: Alexandria, functional GGA-PBE.

Calculated values
* M_tot: 0.00 μB/cell
* calculated density: 6785 kg/m³
* D(E_F): 2.665 states/eV/f.u.
* energy relative to the elements: -2.0 eV per formula unit

abc: 4.789 4.789 4.789
angles: 60.00 60.00 60.00
Element x y z (fractional)
Sc 0.000 0.000 0.000
Li 0.250 0.250 0.250
Rh 0.750 0.750 0.750
Dy 0.500 0.500 0.500

***

Crystalline TePdIN2 at its relaxed geometry. Source: Alexandria, functional GGA-PBE.

Calculated values
* M_tot: 0.00 μB/cell
* polymorph energy (0 for the lowest one): 0 meV per atom
* calculated density: 5564 kg/m³
* D(E_F): 2.655 states/eV/f.u.
* uncorrected formation energy: 1332.3 meV/atom

abc: 3.946 3.946 7.453
angles: 90.00 90.00 90.00
Element x y z (fractional)
I 0.000 0.000 0.500
Te 0.000 0.000 0.000
Pd 0.500 0.500 0.500
N 0.000 0.500 0.000
N 0.500 0.000 0.000

***

Crystalline PrDyYIn at its relaxed geometry. Source: Alexandria, functional GGA-PBE.

Calculated values
* M_tot: 0.14 μB/cell
* polymorph energy (0 for the lowest one): 0 meV per atom
* calculated density: 7097 kg/m³
* D(E_F): 5.920 states/eV/f.u.
* energy relative to the elements: -1.1 eV per formula unit

abc: 4.900 4.865 4.978
angles: 90.00 90.00 90.00
Element x y z (fractional)
Pr 0.000 0.500 0.500
Dy 0.500 0.000 0.500
Y 0.000 0.000 0.000
In 0.500 0.500 0.000

***

Crystalline LiCeY2Au4 at its relaxed geometry. Source: Alexandria, functional GGA-PBE.

Calculated values
* M_tot: 0.90 μB/cell
* calculated density: 10140 kg/m³
* D(E_F): 10.015 states/eV/f.u.
* energy relative to the elements: -5.6 eV per formula unit

abc: 5.020 5.020 8.838
angles: 73.50 73.50 60.00
Last column: magnetic moment on the atom in μB.
Element x y z (fractional)
Li 0.500 0.500 0.500  0.00
Ce 0.000 0.000 0.000  0.77
Y 0.760 0.760 0.720  0.01
Y 0.240 0.240 0.280  0.01
Au 0.387 0.387 0.840  0.00
Au 0.879 0.879 0.363  0.00
Au 0.121 0.121 0.637  0.00
Au 0.613 0.613 0.160  0.00

***

Crystalline Pu2AlAu2 at its relaxed geometry. Source: Alexandria, functional GGA-PBE.

Calculated values
* M_tot: 45.52 μB/cell
* calculated density: 12967 kg/m³
* D(E_F): 21.722 states/eV/f.u.
* energy relative to the elements: -1.7 eV per formula unit

abc: 7.268 7.268 8.814
angles: 90.00 90.00 90.00
Last column: magnetic moment on the atom in μB.
Element x y z (fractional)
Pu 0.668 0.832 0.500  5.38
Pu 0.332 0.168 0.500  5.38
Pu 0.832 0.332 0.000  5.38
Pu 0.168 0.668 0.000  5.38
Pu 0.832 0.332 0.500  5.38
Pu 0.168 0.668 0.500  5.38
Pu 0.332 0.168 0.000  5.38
Pu 0.668 0.832 0.000  5.38
Al 0.500 0.500 0.250  -0.03
Al 0.000 0.000 0.750  -0.03
Al 0.500 0.500 0.750  -0.03
Al 0.000 0.000 0.250  -0.03
Au 0.360 0.860 0.250  0.02
Au 0.640 0.140 0.250  0.02
Au 0.140 0.360 0.750  0.02
Au 0.860 0.640 0.750  0.02
Au 0.860 0.640 0.250  0.02
Au 0.140 0.360 0.250  0.02
Au 0.360 0.860 0.750  0.02
Au 0.640 0.140 0.750  0.02

***

Crystalline Cd2Ge2Br at its relaxed geometry. Source: Alexandria, functional GGA-PBE.

Calculated values
* M_tot: 0.00 μB/cell
* polymorph energy (0 for the lowest one): 29 meV per atom
* calculated density: 5952 kg/m³
* D(E_F): 2.172 states/eV/f.u.
* uncorrected formation energy: 129.7 meV/atom

abc: 4.928 4.928 6.235
angles: 66.72 66.72 90.00
Element x y z (fractional)
Ge 0.382 0.382 0.237
Ge 0.618 0.618 0.763
Br 0.000 0.000 0.000
Cd 0.750 0.250 0.500
Cd 0.250 0.750 0.500